# 1
The following is a GGA-PBE calculation of a geometry-optimized SrDyAgTe3 structure, from OQMD via LeMat-Bulk.

Computed properties:
V (Å³/f.u.): 188
Electronic total energy (eV/cell): -51.60

Cell lengths 8.4758, 4.3555, 10.6264 Å; angles 90.00, 106.42, 90.00 degrees
With the nearest neighbours (Å) after each atom.
Element x y z (fractional)
Ag (0.9158, 0.7500, 0.4082)  4 Te 2.81-3.02, 2 Ag 3.00
Ag (0.0842, 0.2500, 0.5918)  4 Te 2.81-3.02, 2 Ag 3.00
Dy (0.6880, 0.2500, 0.1653)  6 Te 3.07-3.10
Dy (0.3120, 0.7500, 0.8347)  6 Te 3.07-3.10
Sr (0.2393, 0.2500, 0.2901)  6 Te 3.34-3.37
Sr (0.7607, 0.7500, 0.7099)  6 Te 3.34-3.37
Te (0.4232, 0.7500, 0.1386)  3 Dy 3.08-3.10, 2 Sr 3.34
Te (0.9369, 0.7500, 0.1493)  1 Ag 2.81, 2 Dy 3.07
Te (0.7177, 0.2500, 0.4608)  3 Ag 2.90-3.02, 1 Dy 3.08
Te (0.2823, 0.7500, 0.5392)  3 Ag 2.90-3.02, 1 Dy 3.08
Te (0.0631, 0.2500, 0.8507)  1 Ag 2.81, 2 Dy 3.07
Te (0.5768, 0.2500, 0.8614)  3 Dy 3.08-3.10, 2 Sr 3.34

# 2
The following is a GGA-PBE calculation of a geometry-optimized TbDy4Ag5 structure, from OQMD via LeMat-Bulk.

Computed properties:
V (Å³/f.u.): 238
Electronic total energy (eV/cell): -40.48

Cell lengths 3.6225, 3.6225, 18.1507 Å; angles 90.00, 90.00, 90.00 degrees
With the nearest neighbours (Å) after each atom.
Element x y z (fractional)
Ag (0.5000, 0.5000, 0.1012)  4 Dy 3.13, 4 Tb 3.15
Ag (0.5000, 0.5000, 0.3004)  8 Dy 3.14
Ag (0.5000, 0.5000, 0.5000)  8 Dy 3.14
Ag (0.5000, 0.5000, 0.6996)  8 Dy 3.14
Ag (0.5000, 0.5000, 0.8988)  4 Dy 3.13, 4 Tb 3.15
Dy (0.0000, 0.0000, 0.2007)  8 Ag 3.13-3.14
Dy (0.0000, 0.0000, 0.4002)  8 Ag 3.14
Dy (0.0000, 0.0000, 0.5998)  8 Ag 3.14
Dy (0.0000, 0.0000, 0.7993)  8 Ag 3.13-3.14
Tb (0.0000, 0.0000, 0.0000)  8 Ag 3.15